# 1
{"formula": "CaSm5Y3", "functional": "GGA-PBE", "state": "optimized geometry", "cell": [[-5.874, 3.476, -1.004], [4.771, -0.923, -7.410], [-6.046, -9.833, 1.329]], "species": ["Sm", "Y", "Sm", "Y", "Sm", "Sm", "Sm", "Sm", "Ca", "Y", "Y", "Sm", "Y", "Sm", "Sm", "Y", "Sm", "Ca"], "frac_coords": [[0.859, 0.483, 0.362], [0.945, 0.646, 0.128], [0.616, 0.217, 0.545], [0.299, 0.354, 0.372], [0.398, 0.783, 0.955], [0.602, 0.217, 0.045], [0.316, 0.000, 0.250], [0.624, 0.483, 0.862], [0.777, 0.000, 0.250], [0.701, 0.646, 0.628], [0.000, 0.000, 0.500], [0.684, 0.000, 0.750], [0.000, 0.000, 0.000], [0.384, 0.783, 0.455], [0.376, 0.517, 0.138], [0.055, 0.354, 0.872], [0.141, 0.517, 0.638], [0.223, 0.000, 0.750]]}

# 2
{"formula": "BaMn2Pt", "functional": "GGA-PBE", "state": "optimized geometry", "cell": [[5.070, 0.000, 0.000], [2.535, 4.391, 0.000], [2.535, 1.464, 4.140]], "species": ["Mn", "Mn", "Ba", "Pt"], "frac_coords": [[0.000, 0.000, 0.000], [0.250, 0.250, 0.250], [0.500, 0.500, 0.500], [0.750, 0.750, 0.750]]}

# 3
{"formula": "Re2PdPb2", "functional": "GGA-PBE", "state": "optimized geometry", "cell": [[8.330, 0.000, 0.000], [0.000, 8.330, 0.000], [0.000, 0.000, 3.069]], "species": ["Pd", "Pb", "Pb", "Re", "Pb", "Re", "Re", "Pb", "Pd", "Re"], "frac_coords": [[0.500, 0.500, 0.000], [0.310, 0.810, 0.000], [0.690, 0.190, 0.000], [0.902, 0.402, 0.500], [0.190, 0.310, 0.000], [0.098, 0.598, 0.500], [0.402, 0.098, 0.500], [0.810, 0.690, 0.000], [0.000, 0.000, 0.000], [0.598, 0.902, 0.500]], "de_polymorph_kcal_per_mol_atoms": 8.842}

# 4
{"formula": "ReB", "functional": "GGA-PBE", "state": "optimized geometry", "cell": [[-3.363, -4.225, 1.275], [2.085, -3.377, -5.688], [6.507, -3.782, 4.631]], "species": ["B", "Re", "B", "B", "Re", "B", "B", "Re", "Re", "Re", "B", "B", "B", "B", "B", "B", "B", "B", "Re", "Re", "Re", "B", "B", "Re", "B", "Re", "Re", "Re", "Re", "Re", "Re", "Re"], "frac_coords": [[0.583, 0.750, 0.750], [0.750, 0.041, 0.750], [0.083, 0.750, 0.250], [0.333, 0.000, 0.500], [0.000, 0.291, 0.000], [0.083, 0.250, 0.750], [0.167, 0.500, 0.500], [0.000, 0.791, 0.500], [0.000, 0.709, 0.000], [0.250, 0.959, 0.750], [0.667, 0.000, 0.500], [0.583, 0.250, 0.250], [0.417, 0.250, 0.750], [0.667, 0.500, 0.000], [0.917, 0.250, 0.250], [0.417, 0.750, 0.250], [0.833, 0.000, 0.000], [0.167, 0.000, 0.000], [0.250, 0.459, 0.250], [0.500, 0.291, 0.500], [0.750, 0.459, 0.750], [0.333, 0.500, 0.000], [0.917, 0.750, 0.750], [0.750, 0.959, 0.250], [0.833, 0.500, 0.500], [0.500, 0.209, 0.000], [0.750, 0.541, 0.250], [0.500, 0.791, 0.000], [0.250, 0.041, 0.250], [0.000, 0.209, 0.500], [0.250, 0.541, 0.750], [0.500, 0.709, 0.500]]}

# 5
{"formula": "CuRhAu2", "functional": "GGA-PBE", "state": "optimized geometry", "cell": [[3.829, 0.000, 0.000], [0.000, 3.829, 0.000], [1.915, 1.915, 9.427]], "species": ["Rh", "Au", "Rh", "Cu", "Cu", "Au", "Au", "Au"], "frac_coords": [[0.750, 0.250, 0.500], [0.375, 0.377, 0.750], [0.000, 0.000, 0.000], [0.500, 0.500, 0.000], [0.250, 0.750, 0.500], [0.875, 0.873, 0.750], [0.127, 0.625, 0.250], [0.623, 0.125, 0.250]], "de_polymorph_kcal_per_mol_atoms": 7.889}

# 6
{"formula": "CrCo2TcP", "functional": "GGA-PBE", "state": "optimized geometry", "cell": [[-0.366, -4.065, 0.052], [3.849, -0.324, 1.764], [-1.685, 0.199, 3.713]], "species": ["Tc", "Co", "P", "Co", "Cr"], "frac_coords": [[0.500, 0.500, 0.500], [0.000, 0.000, 0.500], [0.000, 0.000, 0.000], [0.500, 0.000, 0.000], [0.000, 0.500, 0.000]]}

# 7
{"formula": "AcMg3Co", "functional": "GGA-PBE", "state": "optimized geometry", "cell": [[-0.201, -4.336, -2.428], [1.630, -2.354, 4.067], [-4.695, -0.631, 1.516]], "species": ["Mg", "Ac", "Mg", "Co", "Mg"], "frac_coords": [[0.500, 0.000, 0.000], [0.500, 0.500, 0.500], [0.000, 0.500, 0.000], [0.000, 0.000, 0.000], [0.000, 0.000, 0.500]]}

# 8
{"formula": "CaAs3Au", "functional": "GGA-PBE", "state": "optimized geometry", "cell": [[5.302, 0.000, 0.000], [0.000, 5.302, 0.000], [0.000, 0.000, 5.302]], "species": ["As", "As", "As", "Au", "Ca"], "frac_coords": [[0.000, 0.500, 0.000], [0.000, 0.000, 0.500], [0.500, 0.000, 0.000], [0.500, 0.500, 0.500], [0.000, 0.000, 0.000]], "de_polymorph_kcal_per_mol_atoms": 18.464}

Ordered ΔH_f (0 K) results: 0.191 0.517 1.016 0.145 0.405 0.566 0.069 0.972; unit eV/atom.